Entry 1:
Material: CrRe2Se
Method: DFT, PBE-GGA
State: relaxed

The calculation puts the total magnetic moment at 0.653 μB per formula unit. The energy relative to the elements, uncorrected is 0.56 eV per atom. The energy above the lowest structure with this stoichiometry is 0.349 eV per atom. The calculated volume comes out at 14.8 Å³/atom.

It has space group Pmmm (No. 47), with a = 2.905 Å, b = 3.941 Å, c = 5.181 Å, α = 90.00°, β = 90.00° and γ = 90.00°. The inequivalent atoms are Cr at (0.000, 0.000, 0.000), Re at (0.500, 0.500, 0.233) and Se at (0.000, 0.000, 0.500).



Entry 2:
Material: TlCd2Cl
Method: DFT, PBE-GGA
State: relaxed

The calculation puts the total magnetic moment at 0.000 μB per formula unit. The energy relative to the elements, uncorrected is -0.21 eV per atom. The energy above the lowest structure with this stoichiometry is 0.112 eV per atom. The calculated volume comes out at 28.6 Å³/atom.

It has space group Pmmm (No. 47), with a = 3.767 Å, b = 5.089 Å, c = 5.977 Å, α = 90.00°, β = 90.00° and γ = 90.00°. The inequivalent atoms are Tl at (0.000, 0.000, 0.000), Cd at (0.500, 0.500, 0.261) and Cl at (0.000, 0.000, 0.500).



Number 1: density of states at the Fermi level 3.59 states/eV/cell. Number 2: density of states at the Fermi level 1.28 states/eV/cell.